(1)
Computed, not measured: a relaxed BaPuTl2Cl8 crystal at the PBE level of DFT.

Summary:
space-group type = No. 10
total moment = 4.00 μB per cell
raw formation energy = -1.66 eV per atom
D(E_F) = 4.767 states/eV per cell

Cell: 6.027 7.916 9.274 Å, 89.99 90.00 106.57°
Each line ends with the local moment (μB).
Element x y z (fractional)
Ba 0.000 0.000 0.500  0.00
Pu 0.000 0.000 0.000  4.39
Tl 0.500 0.500 0.746  -0.01
Tl 0.500 0.500 0.254  -0.01
Cl 0.056 0.791 0.212  -0.05
Cl 0.580 0.807 0.000  -0.08
Cl 0.945 0.209 0.212  -0.05
Cl 0.944 0.209 0.788  -0.05
Cl 0.420 0.193 0.000  -0.08
Cl 0.055 0.791 0.788  -0.05
Cl 0.505 0.755 0.500  -0.01
Cl 0.495 0.245 0.500  -0.01

=====

(2)
Computed, not measured: a relaxed Mg6RhAu2 crystal at the PBE level of DFT.

Summary:
space-group type = No. 164
total moment = 0.00 μB per cell
energy relative to the elements = -0.3988 eV per atom
energy relative to the lowest polymorph listed for this composition = 0.00 kcal/mol of atoms
D(E_F) = 3.739 states/eV per cell

Cell: 4.676 4.676 8.679 Å, 90.01 89.98 120.02°
Element x y z (fractional)
Mg 0.667 0.333 0.940
Mg 0.333 0.667 0.060
Mg 0.000 0.000 0.199
Mg 0.333 0.667 0.414
Mg 0.000 0.000 0.801
Mg 0.667 0.333 0.586
Rh 0.000 0.000 0.500
Au 0.333 0.667 0.738
Au 0.667 0.333 0.262

=====

(3)
Computed, not measured: a relaxed Ba2CeInPd6 crystal at the PBE level of DFT.

Summary:
space-group type = No. 225
total moment = 0.42 μB per cell
energy relative to the elements = -0.2206 eV per atom
D(E_F) = 7.454 states/eV per cell

Cell: 7.292 7.292 7.292 Å, 60.00 60.00 90.00°
Each line ends with the local moment (μB).
Element x y z (fractional)
Ba 0.250 0.750 0.500  0.01
Ba 0.750 0.250 0.500  0.01
Ce 0.500 0.500 0.000  0.26
In 0.000 0.000 0.000  0.01
Pd 0.254 0.746 0.000  0.00
Pd 0.746 0.746 0.000  0.00
Pd 0.254 0.254 0.492  0.00
Pd 0.746 0.254 0.000  0.00
Pd 0.254 0.254 0.000  0.00
Pd 0.746 0.746 0.508  0.00

=====

(4)
Computed, not measured: a relaxed PaNi2As crystal at the PBE level of DFT.

Summary:
space-group type = No. 47
total moment = 0.00 μB per cell
energy relative to the elements = -0.4809 eV per atom
energy relative to the lowest polymorph listed for this composition = 1.55 kcal/mol of atoms
D(E_F) = 2.289 states/eV per cell

Cell: 4.022 3.613 4.848 Å, 90.00 90.00 90.00°
Element x y z (fractional)
Pa 0.500 0.500 0.000
Ni 0.000 0.000 0.243
Ni 0.000 0.000 0.757
As 0.500 0.000 0.500